# 1
VASP calculation (PBE) on crystalline Pu3Os at its relaxed geometry.

## Properties
E_form: 0.18 eV per formula unit
space group: Fm-3m

abc: 4.790 4.790 4.790
angles: 60.00 60.00 60.00
Fractional positions:
1 Pu 0.750 0.750 0.750
2 Pu 0.250 0.250 0.250
3 Pu 0.000 0.000 0.000
4 Os 0.500 0.500 0.500



# 2
VASP calculation (PBE) on crystalline Pu3Os at its relaxed geometry.

## Properties
E_form: 2.26 eV per formula unit
space group: Imm2

abc: 2.381 5.662 6.118
angles: 117.57 101.22 90.00
Fractional positions:
1 Pu 0.749 0.116 0.499
2 Pu 0.500 0.461 0.000
3 Pu 0.251 0.618 0.501
4 Os 0.000 0.971 0.000



# 3
VASP calculation (PBE) on crystalline PuOs2 at its relaxed geometry.

## Properties
E_form: -0.26 eV per formula unit
space group: Fd-3m

abc: 5.346 5.346 5.346
angles: 60.00 60.00 60.00
Fractional positions:
1 Os 0.625 0.625 0.125
2 Os 0.625 0.125 0.625
3 Os 0.125 0.625 0.625
4 Os 0.625 0.625 0.625
5 Pu 0.250 0.250 0.250
6 Pu 0.000 0.000 0.000



# 4
VASP calculation (PBE) on crystalline Pu5Os3 at its relaxed geometry.

## Properties
E_form: -0.07 eV per formula unit
space group: I4/mcm

abc: 8.190 8.190 8.190
angles: 97.26 97.26 138.34
Fractional positions:
1 Pu 0.914 0.783 0.698
2 Pu 0.283 0.414 0.698
3 Pu 0.717 0.586 0.302
4 Pu 0.250 0.750 0.500
5 Pu 0.217 0.914 0.131
6 Pu 0.783 0.086 0.869
7 Pu 0.414 0.717 0.131
8 Pu 0.586 0.283 0.869
9 Pu 0.086 0.217 0.302
10 Pu 0.750 0.250 0.500
11 Os 0.841 0.341 0.182
12 Os 0.250 0.250 0.000
13 Os 0.341 0.159 0.500
14 Os 0.159 0.659 0.818
15 Os 0.659 0.841 0.500
16 Os 0.750 0.750 0.000



# 5
VASP calculation (PBE) on crystalline PuOs6 at its relaxed geometry.

## Properties
E_form: 6.36 eV per formula unit
space group: Im-3m

abc: 5.900 5.900 5.900
angles: 109.47 109.47 109.47
Fractional positions:
1 Os 0.250 0.750 0.500
2 Os 0.500 0.750 0.250
3 Os 0.750 0.250 0.500
4 Os 0.500 0.250 0.750
5 Os 0.250 0.500 0.750
6 Os 0.750 0.500 0.250
7 Pu 0.000 0.000 0.000



# 6
VASP calculation (PBE) on crystalline Pu2ReOs3 at its relaxed geometry.

## Properties
E_form: -0.53 eV per formula unit
space group: P6_3/mmc

abc: 5.512 5.512 8.235
angles: 90.00 90.00 120.00
Fractional positions:
1 Os 0.829 0.171 0.750
2 Os 0.343 0.171 0.750
3 Os 0.171 0.343 0.250
4 Os 0.171 0.829 0.250
5 Os 0.829 0.657 0.750
6 Os 0.657 0.829 0.250
7 Re 0.000 0.000 0.500
8 Re 0.000 0.000 0.000
9 Pu 0.667 0.333 0.427
10 Pu 0.333 0.667 0.927
11 Pu 0.333 0.667 0.573
12 Pu 0.667 0.333 0.073



no.,total magnetic moment (μB/f.u.)
1,4.78
2,0.33
3,4.33
4,24.78
5,5.35
6,9.07